w | # MgPNCl2, relaxed, DFT PBE
# Density ... 1.69 g cm⁻³
# Space-group type ... P4/mmm
# DOS at the Fermi energy ... 1.9 states/eV/cell
data_MgPNCl2
_cell_length_a 4.706
_cell_length_b 4.706
_cell_length_c 6.228
_cell_angle_alpha 90.00
_cell_angle_beta 90.00
_cell_angle_gamma 90.00
_symmetry_space_group_name_H-M 'P 1'
_symmetry_Int_Tables_number 1
_symmetry_space_group_name_Hall 'P 1'
loop_
_atom_site_label
_atom_site_fract_x
_atom_site_fract_y
_atom_site_fract_z
_atom_site_occupancy
Mg1 0.000 0.000 0.000 1
P1 0.000 0.000 0.500 1
N1 0.500 0.500 0.500 1
Cl1 0.000 0.500 0.000 1
Cl2 0.500 0.000 0.000 1

x | # MgPNCl2, relaxed, DFT PBE
# Density ... 2.15 g cm⁻³
# Space-group type ... P4/mmm
# DOS at the Fermi energy ... 1.3 states/eV/cell
data_MgPNCl2
_cell_length_a 5.697
_cell_length_b 5.697
_cell_length_c 3.329
_cell_angle_alpha 90.00
_cell_angle_beta 90.00
_cell_angle_gamma 90.00
_symmetry_space_group_name_H-M 'P 1'
_symmetry_Int_Tables_number 1
_symmetry_space_group_name_Hall 'P 1'
loop_
_atom_site_label
_atom_site_fract_x
_atom_site_fract_y
_atom_site_fract_z
_atom_site_occupancy
Mg1 0.000 0.000 0.000 1
P1 0.500 0.500 0.000 1
N1 0.500 0.500 0.500 1
Cl1 0.000 0.500 0.500 1
Cl2 0.500 0.000 0.500 1

x ends up most stable, edging out the next structure by 0.488 eV/atom.

w | # MgP2NCl, relaxed, DFT PBE
# Density ... 2.59 g cm⁻³
# Space-group type ... P4/mmm
# DOS at the Fermi energy ... 3.5 states/eV/cell
data_MgP2NCl
_cell_length_a 3.753
_cell_length_b 3.753
_cell_length_c 6.171
_cell_angle_alpha 90.00
_cell_angle_beta 90.00
_cell_angle_gamma 90.00
_symmetry_space_group_name_H-M 'P 1'
_symmetry_Int_Tables_number 1
_symmetry_space_group_name_Hall 'P 1'
loop_
_atom_site_label
_atom_site_fract_x
_atom_site_fract_y
_atom_site_fract_z
_atom_site_occupancy
Mg1 0.000 0.000 0.000 1
P1 0.000 0.500 0.500 1
P2 0.500 0.000 0.500 1
N1 0.500 0.500 0.500 1
Cl1 0.500 0.500 0.000 1

x | # MgP2NCl, relaxed, DFT PBE
# Density ... 1.85 g cm⁻³
# Space-group type ... P4/mmm
# DOS at the Fermi energy ... 2.7 states/eV/cell
data_MgP2NCl
_cell_length_a 4.987
_cell_length_b 4.987
_cell_length_c 4.904
_cell_angle_alpha 90.00
_cell_angle_beta 90.00
_cell_angle_gamma 90.00
_symmetry_space_group_name_H-M 'P 1'
_symmetry_Int_Tables_number 1
_symmetry_space_group_name_Hall 'P 1'
loop_
_atom_site_label
_atom_site_fract_x
_atom_site_fract_y
_atom_site_fract_z
_atom_site_occupancy
Mg1 0.000 0.000 0.000 1
P1 0.000 0.500 0.000 1
P2 0.500 0.000 0.000 1
N1 0.500 0.500 0.500 1
Cl1 0.000 0.000 0.500 1

w ends up most stable, edging out the next structure by 1.049 eV/atom.

w | # MgSNCl2, relaxed, DFT PBE
# Density ... 2.79 g cm⁻³
# Space-group type ... P4/mmm
# DOS at the Fermi energy ... 1.3 states/eV/cell
data_MgSNCl2
_cell_length_a 4.242
_cell_length_b 4.242
_cell_length_c 4.678
_cell_angle_alpha 90.00
_cell_angle_beta 90.00
_cell_angle_gamma 90.00
_symmetry_space_group_name_H-M 'P 1'
_symmetry_Int_Tables_number 1
_symmetry_space_group_name_Hall 'P 1'
loop_
_atom_site_label
_atom_site_fract_x
_atom_site_fract_y
_atom_site_fract_z
_atom_site_occupancy
Mg1 0.000 0.000 0.000 1
S1 0.500 0.500 0.000 1
N1 0.500 0.500 0.500 1
Cl1 0.000 0.500 0.500 1
Cl2 0.500 0.000 0.500 1

x | # MgSNCl2, relaxed, DFT PBE
# Density ... 1.84 g cm⁻³
# Space-group type ... P4/mmm
# DOS at the Fermi energy ... 1.2 states/eV/cell
data_MgSNCl2
_cell_length_a 4.969
_cell_length_b 4.969
_cell_length_c 5.169
_cell_angle_alpha 90.00
_cell_angle_beta 90.00
_cell_angle_gamma 90.00
_symmetry_space_group_name_H-M 'P 1'
_symmetry_Int_Tables_number 1
_symmetry_space_group_name_Hall 'P 1'
loop_
_atom_site_label
_atom_site_fract_x
_atom_site_fract_y
_atom_site_fract_z
_atom_site_occupancy
Mg1 0.000 0.000 0.000 1
S1 0.000 0.000 0.500 1
N1 0.500 0.500 0.500 1
Cl1 0.000 0.500 0.000 1
Cl2 0.500 0.000 0.000 1

w ends up most stable, edging out the next structure by 0.089 eV/atom.